Entry 1:
{
  "formula": "Tm6CdIn5",
  "functional": "GGA-PBE",
  "state": "relaxed",
  "polymorph_energy_mev_per_atom": 0,
  "e_form_ev_per_atom": -0.41,
  "spacegroup": "Cmmm (65)",
  "lattice_angstrom": [[2.636, -7.921, 0.000], [2.636, 7.921, 0.000], [0.000, 0.000, 7.344]],
  "species": ["Tm", "Tm", "Tm", "Tm", "Tm", "Tm", "Cd", "In", "In", "In", "In", "In"],
  "frac_coords": [[0.000, 0.000, 0.250], [0.000, 0.000, 0.750], [0.334, 0.666, 0.249], [0.334, 0.666, 0.751], [0.666, 0.334, 0.249], [0.666, 0.334, 0.751], [0.500, 0.500, 0.000], [0.164, 0.836, 0.000], [0.167, 0.833, 0.500], [0.500, 0.500, 0.500], [0.833, 0.167, 0.500], [0.836, 0.164, 0.000]]
}

=====

Entry 2:
{
  "formula": "Tb2ThOs9",
  "functional": "GGA-PBE",
  "state": "relaxed",
  "e_form_ev_per_atom": -0.10,
  "spacegroup": "R-3m (166)",
  "lattice_angstrom": [[2.676, 1.545, 8.732], [-2.676, 1.545, 8.732], [0.000, -3.090, 8.732]],
  "species": ["Tb", "Tb", "Th", "Os", "Os", "Os", "Os", "Os", "Os", "Os", "Os", "Os"],
  "frac_coords": [[0.141, 0.141, 0.141], [0.859, 0.859, 0.859], [0.000, 0.000, 0.000], [0.072, 0.589, 0.589], [0.339, 0.339, 0.339], [0.411, 0.411, 0.928], [0.411, 0.928, 0.411], [0.500, 0.500, 0.500], [0.589, 0.072, 0.589], [0.589, 0.589, 0.072], [0.661, 0.661, 0.661], [0.928, 0.411, 0.411]]
}

=====

Entry 3:
{
  "formula": "Tc2HgRh",
  "functional": "GGA-PBE",
  "state": "relaxed",
  "e_form_ev_per_atom": 0.20,
  "spacegroup": "R3m (160)",
  "lattice_angstrom": [[1.417, 0.818, 9.163], [-1.417, 0.818, 9.163], [0.000, -1.636, 9.163]],
  "species": ["Tc", "Tc", "Hg", "Rh"],
  "frac_coords": [[0.000, 0.000, 0.000], [0.258, 0.258, 0.258], [0.758, 0.758, 0.758], [0.513, 0.513, 0.513]]
}

=====

Entry 4:
{
  "formula": "BaEu2Ag",
  "functional": "GGA-PBE",
  "state": "relaxed",
  "polymorph_energy_mev_per_atom": 76,
  "e_form_ev_per_atom": -0.04,
  "spacegroup": "R-3m (166)",
  "lattice_angstrom": [[2.201, 1.271, 10.650], [-2.201, 1.271, 10.650], [0.000, -2.541, 10.650]],
  "species": ["Ba", "Eu", "Eu", "Ag"],
  "frac_coords": [[0.000, 0.000, 0.000], [0.223, 0.223, 0.223], [0.777, 0.777, 0.777], [0.500, 0.500, 0.500]]
}

=====

Entry 5:
{
  "formula": "KBaLa2",
  "functional": "GGA-PBE",
  "state": "relaxed",
  "polymorph_energy_mev_per_atom": 266,
  "e_form_ev_per_atom": 0.42,
  "spacegroup": "I-4m2 (119)",
  "lattice_angstrom": [[-3.214, 3.214, 4.567], [3.214, -3.214, 4.567], [3.214, 3.214, -4.567]],
  "species": ["K", "Ba", "La", "La"],
  "frac_coords": [[0.000, 0.000, 0.000], [0.750, 0.250, 0.500], [0.250, 0.750, 0.500], [0.500, 0.500, 0.000]]
}

=====

Entry 6:
{
  "formula": "GdCuS2",
  "functional": "GGA-PBE",
  "state": "relaxed",
  "raw_formation_energy_kj_per_mol_atoms": -126.5,
  "spacegroup": "R-3m (166)",
  "lattice_angstrom": [[2.089, 1.206, 7.046], [-2.089, 1.206, 7.046], [0.000, -2.412, 7.046]],
  "species": ["Gd", "Cu", "S", "S"],
  "frac_coords": [[0.000, 0.000, 0.000], [0.500, 0.500, 0.500], [0.399, 0.399, 0.399], [0.601, 0.601, 0.601]]
}

=====

Entry 7:
{
  "formula": "KSbO",
  "functional": "GGA-PBE",
  "state": "relaxed",
  "raw_formation_energy_kj_per_mol_atoms": -101.5,
  "polymorph_energy_mev_per_atom": 5,
  "spacegroup": "Pnma (62)",
  "lattice_angstrom": [[7.551, 0.000, 0.000], [0.000, 4.232, 0.000], [0.000, 0.000, 11.698]],
  "species": ["K", "K", "K", "K", "Sb", "Sb", "Sb", "Sb", "O", "O", "O", "O"],
  "frac_coords": [[0.012, 0.250, 0.131], [0.488, 0.750, 0.631], [0.512, 0.250, 0.369], [0.988, 0.750, 0.869], [0.058, 0.250, 0.580], [0.442, 0.750, 0.080], [0.558, 0.250, 0.920], [0.942, 0.750, 0.420], [0.187, 0.750, 0.054], [0.313, 0.250, 0.554], [0.687, 0.750, 0.446], [0.813, 0.250, 0.946]]
}

=====

Entry 8:
{
  "formula": "Ta3VTe",
  "functional": "GGA-PBE",
  "state": "relaxed",
  "raw_formation_energy_kj_per_mol_atoms": 103.1,
  "polymorph_energy_mev_per_atom": 0,
  "spacegroup": "Pm-3m (221)",
  "lattice_angstrom": [[4.726, 0.000, 0.000], [0.000, 4.726, 0.000], [0.000, 0.000, 4.726]],
  "species": ["Ta", "Ta", "Ta", "V", "Te"],
  "frac_coords": [[0.000, 0.000, 0.500], [0.000, 0.500, 0.000], [0.500, 0.000, 0.000], [0.000, 0.000, 0.000], [0.500, 0.500, 0.500]]
}

=====

Entry 9:
{
  "formula": "Hg2Te",
  "functional": "GGA-PBE",
  "state": "relaxed",
  "raw_formation_energy_kj_per_mol_atoms": 14.0,
  "polymorph_energy_mev_per_atom": 174,
  "spacegroup": "P-3m1 (164)",
  "lattice_angstrom": [[3.244, 0.000, 0.000], [-1.622, 2.809, 0.000], [0.000, 0.000, 9.710]],
  "species": ["Hg", "Hg", "Te"],
  "frac_coords": [[0.333, 0.667, 0.342], [0.667, 0.333, 0.658], [0.000, 0.000, 0.000]]
}

=====

Entry 10:
{
  "formula": "CsSb2TeMo",
  "functional": "GGA-PBE",
  "state": "relaxed",
  "raw_formation_energy_kj_per_mol_atoms": 245.4,
  "polymorph_energy_mev_per_atom": 2444,
  "spacegroup": "P4/mmm (123)",
  "lattice_angstrom": [[5.947, 0.000, 0.000], [0.000, 5.947, 0.000], [0.000, 0.000, 5.971]],
  "species": ["Cs", "Sb", "Sb", "Te", "Mo"],
  "frac_coords": [[0.000, 0.000, 0.000], [0.000, 0.500, 0.000], [0.500, 0.000, 0.000], [0.000, 0.000, 0.500], [0.500, 0.500, 0.500]]
}

=====

Entry 11:
{
  "formula": "BaPPb2",
  "functional": "GGA-PBE",
  "state": "relaxed",
  "e_form_ev_per_atom": -0.27,
  "spacegroup": "I-42d (122)",
  "lattice_angstrom": [[-4.538, 4.538, 3.236], [4.538, -4.538, 3.236], [4.538, 4.538, -3.236]],
  "species": ["Ba", "Ba", "P", "P", "Pb", "Pb", "Pb", "Pb"],
  "frac_coords": [[0.000, 0.000, 0.000], [0.750, 0.250, 0.500], [0.250, 0.750, 0.500], [0.500, 0.500, 0.000], [0.197, 0.625, 0.072], [0.375, 0.447, 0.572], [0.553, 0.125, 0.928], [0.875, 0.803, 0.428]]
}

=====

Entry 12:
{
  "formula": "K3Pm2GaO6",
  "functional": "GGA-PBE",
  "state": "relaxed",
  "raw_formation_energy_kj_per_mol_atoms": -215.8,
  "spacegroup": "C2/m (12)",
  "lattice_angstrom": [[2.986, -5.181, 0.000], [2.986, 5.181, 0.000], [-1.972, 0.000, 6.257]],
  "species": ["K", "K", "K", "Pm", "Pm", "Ga", "O", "O", "O", "O", "O", "O"],
  "frac_coords": [[0.000, 0.000, 0.000], [0.340, 0.660, 0.000], [0.660, 0.340, 0.000], [0.167, 0.833, 0.500], [0.833, 0.167, 0.500], [0.500, 0.500, 0.500], [0.134, 0.439, 0.315], [0.258, 0.258, 0.682], [0.439, 0.134, 0.315], [0.561, 0.866, 0.685], [0.742, 0.742, 0.318], [0.866, 0.561, 0.685]]
}

=====

Number 1: total moment 0.0 Bohr magnetons per cell. Number 2: total moment 0.0 Bohr magnetons per cell. Number 3: total moment 0.0 Bohr magnetons per cell. Number 4: total moment 14.8 Bohr magnetons per cell. Number 5: total moment 0.0 Bohr magnetons per cell. Number 6: total moment 7.0 Bohr magnetons per cell. Number 7: total moment 0.0 Bohr magnetons per cell. Number 8: total moment 0.0 Bohr magnetons per cell. Number 9: total moment 0.0 Bohr magnetons per cell. Number 10: total moment 0.0 Bohr magnetons per cell. Number 11: total moment 0.0 Bohr magnetons per cell. Number 12: total moment 0.0 Bohr magnetons per cell.